Material: CsTl2Sb2
Method: DFT, PBEsol
State: relaxed

Properties
Crystal system: tetragonal
Density of states at the Fermi level (states/eV/f.u.): 2.2
Mass density (Mg/m³): 7.32
E_tot (eV per atom): -3.18
Excess energy over the best structure of this formula in the dataset (meV/atom): 81.7

a = 9.3365 Å, b = 9.3365 Å, c = 4.0881 Å
α = 90.00°, β = 90.00°, γ = 90.00°
Sites, in units of the cell vectors:
Cs 0.0000 0.0000 0.0000
Cs 0.5000 0.5000 0.0000
Tl 0.1519 0.3481 0.5000
Tl 0.3481 0.8481 0.5000
Tl 0.6519 0.1519 0.5000
Tl 0.8481 0.6519 0.5000
Sb 0.1087 0.6087 0.0000
Sb 0.3913 0.1087 0.0000
Sb 0.6087 0.8913 0.0000
Sb 0.8913 0.3913 0.0000



Material: MnTc2Ni
Method: DFT, PBEsol
State: relaxed

Properties
Crystal system: cubic
Density of states at the Fermi level (states/eV/f.u.): 5.7
Mass density (Mg/m³): 10.45
Energy relative to the elements (eV/atom): 0.233
E_tot (eV per atom): -9.38
Excess energy over the best structure of this formula in the dataset (meV/atom): 190.7

a = 4.1125 Å, b = 4.1125 Å, c = 4.1125 Å
α = 60.00°, β = 60.00°, γ = 60.00°
Sites, in units of the cell vectors:
Mn 0.0000 0.0000 0.0000
Tc 0.2500 0.2500 0.2500
Tc 0.7500 0.7500 0.7500
Ni 0.5000 0.5000 0.5000



Material: GeSbSe2
Method: DFT, PBEsol
State: relaxed

Properties
Crystal system: cubic
Density of states at the Fermi level (states/eV/f.u.): 1.2
Mass density (Mg/m³): 6.89
E_tot (eV per atom): -4.27

a = 4.9346 Å, b = 4.9346 Å, c = 4.9346 Å
α = 60.00°, β = 60.00°, γ = 60.00°
Sites, in units of the cell vectors:
Ge 0.0000 0.0000 0.0000
Sb 0.5000 0.5000 0.5000
Se 0.2500 0.2500 0.2500
Se 0.7500 0.7500 0.7500



Material: SrCdRh
Method: DFT, PBEsol
State: relaxed

Properties
Crystal system: hexagonal
Density of states at the Fermi level (states/eV/f.u.): 1.6
Mass density (Mg/m³): 6.95
Energy relative to the elements (eV/atom): -0.125
E_tot (eV per atom): -3.85

a = 4.6006 Å, b = 4.6006 Å, c = 3.9465 Å
α = 90.00°, β = 90.00°, γ = 120.00°
Sites, in units of the cell vectors:
Sr 0.0000 0.0000 0.0000
Cd 0.3333 0.6667 0.5000
Rh 0.6667 0.3333 0.5000



Material: CoSn3
Method: DFT, PBEsol
State: relaxed

Properties
Crystal system: orthorhombic
Density of states at the Fermi level (states/eV/f.u.): 1.9
Mass density (Mg/m³): 8.60
Energy relative to the elements (eV/atom): -0.113
E_tot (eV per atom): -5.24

a = 8.9119 Å, b = 8.9119 Å, c = 6.2069 Å
α = 90.00°, β = 90.00°, γ = 40.56°
Sites, in units of the cell vectors:
Co 0.0799 0.0799 0.0000
Co 0.4201 0.4201 0.5000
Co 0.5799 0.5799 0.5000
Co 0.9201 0.9201 0.0000
Sn 0.0170 0.6526 0.3185
Sn 0.1526 0.5170 0.8185
Sn 0.1633 0.8367 0.6635
Sn 0.3367 0.6633 0.1635
Sn 0.3474 0.9830 0.3185
Sn 0.4830 0.8474 0.8185
Sn 0.5170 0.1526 0.1815
Sn 0.6526 0.0170 0.6815
Sn 0.6633 0.3367 0.8365
Sn 0.8367 0.1633 0.3365
Sn 0.8474 0.4830 0.1815
Sn 0.9830 0.3474 0.6815



Material: CrSiAs
Method: DFT, PBEsol
State: relaxed

Properties
Crystal system: hexagonal
Density of states at the Fermi level (states/eV/f.u.): 2.6
Mass density (Mg/m³): 6.18
E_tot (eV per atom): -6.71

a = 4.2193 Å, b = 4.2193 Å, c = 2.7018 Å
α = 90.00°, β = 90.00°, γ = 120.00°
Sites, in units of the cell vectors:
Cr 0.0000 0.0000 0.0000
Si 0.3333 0.6667 0.5000
As 0.6667 0.3333 0.0000



Material: HgP2SO
Method: DFT, PBEsol
State: relaxed

Properties
Crystal system: tetragonal
Density of states at the Fermi level (states/eV/f.u.): 2.0
Mass density (Mg/m³): 6.75
E_tot (eV per atom): -3.98

a = 4.7232 Å, b = 4.7232 Å, c = 3.4236 Å
α = 90.00°, β = 90.00°, γ = 90.00°
Sites, in units of the cell vectors:
Hg 0.0000 0.0000 0.0000
P 0.0000 0.5000 0.5000
P 0.5000 0.0000 0.5000
S 0.5000 0.5000 0.5000
O 0.5000 0.5000 0.0000



Material: Ho2Ge2Ru
Method: DFT, PBEsol
State: relaxed

Properties
Crystal system: monoclinic
Density of states at the Fermi level (states/eV/f.u.): 2.7
Mass density (Mg/m³): 9.72
Energy relative to the elements (eV/atom): -0.833
E_tot (eV per atom): -6.82

a = 5.6965 Å, b = 5.6965 Å, c = 10.0165 Å
α = 116.18°, β = 116.18°, γ = 43.49°
Sites, in units of the cell vectors:
Ho 0.0018 0.0018 0.1738
Ho 0.1841 0.1841 0.6114
Ho 0.8159 0.8159 0.3886
Ho 0.9982 0.9982 0.8262
Ge 0.3560 0.3560 0.9344
Ge 0.4875 0.4875 0.6242
Ge 0.5125 0.5125 0.3758
Ge 0.6440 0.6440 0.0656
Ru 0.2719 0.2719 0.1284
Ru 0.7281 0.7281 0.8716